# Sr3CaPa2As6 PBE optimized geometry
data_Sr3CaPa2As6
_symmetry_space_group_name_H-M 'C 1 2/m 1'
_symmetry_Int_Tables_number 12
_symmetry_space_group_name_Hall '-C 2y'
_cell_length_a 18.848
_cell_length_b 4.315
_cell_length_c 8.678
_cell_angle_alpha 90.00
_cell_angle_beta 104.21
_cell_angle_gamma 90.00
loop_
_atom_site_label
_atom_site_fract_x
_atom_site_fract_y
_atom_site_fract_z
Sr1 0.000 0.000 0.000
Sr2 0.161 0.500 0.333
Ca1 0.000 0.000 0.500
Pa1 0.163 0.500 0.827
As1 0.012 0.500 0.750
As2 0.167 0.000 0.611
As3 0.176 0.000 0.060
# DFT total energy, eV per atom: -5.676
# E_form, meV per atom: -1181
# Magnetization, μB per cell: 0.00